Computed, not measured: a relaxed Ba3PmV2O9 crystal at the GGA+U level of DFT.

Unit cell a=5.865 b=5.865 c=7.284 alpha=90.00 beta=90.00 gamma=120.00
Site moments in Bohr magnetons follow the coordinates.
Fractional coordinates of all 15 atoms:
V1 0.667 0.333 0.838  0.60
V2 0.333 0.667 0.162  0.60
Ba1 0.333 0.667 0.692  0.00
Ba2 0.000 0.000 0.000  0.00
Ba3 0.667 0.333 0.308  0.00
O1 0.640 0.820 0.307  -0.02
O2 0.180 0.360 0.307  -0.02
O3 0.180 0.820 0.307  -0.02
O4 0.820 0.640 0.693  -0.02
O5 0.500 0.000 0.000  -0.04
O6 0.360 0.180 0.693  -0.02
O7 0.820 0.180 0.693  -0.02
O8 0.500 0.500 0.000  -0.04
O9 0.000 0.500 0.000  -0.04
Pm1 0.000 0.000 0.500  0.01

Summary:
The calculation puts the density of states at the Fermi level at 2.23 states/eV/cell. The total moment is 1.00 μB/f.u. The value obtained for the total energy is -108.62 eV for the cell shown.